1.
Here is a geometry-optimized NaCd12Au7 structure from Alexandria. Energies are from PBE.

Properties
Its formation energy from the elements is -0.123 eV/atom.

Cell and atoms, written as POSCAR:
```
NaCd12Au7
1.0
8.619 -0.487 -0.731
-2.864 8.144 -0.731
-2.864 -3.811 7.234
Na Cd Au
1 12 7
direct
0.000 0.000 0.000
0.000 0.264 0.736
0.736 0.264 0.000
0.450 0.126 0.450
0.874 0.550 0.550
0.264 0.000 0.736
0.550 0.550 0.874
0.450 0.450 0.126
0.736 0.000 0.264
0.126 0.450 0.450
0.550 0.874 0.550
0.264 0.736 0.000
0.000 0.736 0.264
0.839 0.499 0.839
0.501 0.161 0.161
0.161 0.161 0.501
0.500 0.500 0.500
0.839 0.839 0.499
0.499 0.839 0.839
0.161 0.501 0.161
```

***

2.
Here is a geometry-optimized NaCd4Au5 structure from Alexandria. Energies are from PBE.

Properties
The energy above the most stable polymorph in this dataset comes out at 71.5 meV per atom. Its formation energy from the elements is -0.107 eV/atom.

Cell and atoms, written as POSCAR:
```
NaCd4Au5
1.0
-4.832 2.020 -0.725
-5.055 -4.376 2.219
-2.168 3.731 5.569
Na Cd Au
1 4 5
direct
0.002 0.000 0.000
0.351 0.418 0.882
0.768 0.882 0.582
0.233 0.118 0.418
0.651 0.582 0.118
0.919 0.452 0.712
0.371 0.712 0.548
0.631 0.288 0.452
0.083 0.548 0.288
0.502 0.000 0.000
```

***

3.
Here is a geometry-optimized NaCd6Au4 structure from Alexandria. Energies are from PBE.

Properties
The energy above the most stable polymorph in this dataset comes out at 29.7 meV per atom. Its formation energy from the elements is -0.155 eV/atom.

Cell and atoms, written as POSCAR:
```
NaCd6Au4
1.0
-5.682 4.544 0.382
-0.501 -6.200 -3.792
2.049 -3.822 5.854
Na Cd Au
1 6 4
direct
0.000 0.000 0.000
0.000 0.884 0.533
0.000 0.533 0.884
0.648 0.116 0.116
0.500 0.000 0.500
0.352 0.467 0.467
0.500 0.500 0.000
0.000 0.250 0.602
0.648 0.398 0.398
0.000 0.602 0.250
0.352 0.750 0.750
```

***

4.
Here is a geometry-optimized NaCd2Au structure from Alexandria. Energies are from PBE.

Properties
The energy above the most stable polymorph in this dataset comes out at 161.5 meV per atom. Its formation energy from the elements is -0.089 eV/atom.

Cell and atoms, written as POSCAR:
```
NaCd2Au
1.0
8.493 0.000 0.000
0.000 8.493 0.000
4.247 4.247 2.881
Na Au Cd
2 2 4
direct
0.500 0.500 0.000
0.250 0.750 0.500
0.000 0.000 0.000
0.750 0.250 0.500
0.676 0.125 0.250
0.074 0.625 0.250
0.375 0.324 0.750
0.875 0.926 0.750
```

***

5.
Here is a geometry-optimized Na5Cd2Au structure from Alexandria. Energies are from PBE.

Properties
The energy above the most stable polymorph in this dataset comes out at 30.3 meV per atom. Its formation energy from the elements is -0.106 eV/atom.

Cell and atoms, written as POSCAR:
```
Na5Cd2Au
1.0
5.007 0.000 0.000
0.000 6.533 0.000
0.000 0.000 13.072
Na Cd Au
10 4 2
direct
0.000 0.000 0.000
0.000 0.500 0.500
0.000 0.570 0.771
0.000 0.430 0.229
0.000 0.930 0.271
0.000 0.070 0.729
0.500 0.321 0.898
0.500 0.679 0.102
0.500 0.179 0.398
0.500 0.821 0.602
0.500 0.321 0.636
0.500 0.679 0.364
0.500 0.179 0.136
0.500 0.821 0.864
0.000 0.000 0.500
0.000 0.500 0.000
```

***

6.
Here is a geometry-optimized Na2Cd9Au3 structure from Alexandria. Energies are from PBE.

Properties
Its formation energy from the elements is -0.184 eV/atom.

Cell and atoms, written as POSCAR:
```
Na2Cd9Au3
1.0
-3.415 5.463 -5.398
-3.574 -1.350 7.486
9.258 4.543 5.245
Na Cd Au
4 18 6
direct
0.337 0.252 0.750
0.663 0.748 0.250
0.001 0.587 0.750
0.999 0.413 0.250
0.452 0.920 0.748
0.548 0.080 0.252
0.672 0.704 0.752
0.328 0.296 0.248
0.451 0.642 0.926
0.549 0.358 0.074
0.217 0.525 0.574
0.783 0.475 0.426
0.888 0.138 0.750
0.112 0.862 0.250
0.123 0.979 0.931
0.877 0.021 0.069
0.547 0.192 0.569
0.453 0.808 0.431
0.882 0.859 0.573
0.118 0.141 0.427
0.786 0.309 0.927
0.214 0.691 0.073
0.500 0.000 0.000
0.500 0.500 0.500
0.847 0.174 0.499
0.153 0.826 0.501
0.174 0.348 0.001
0.826 0.652 0.999
```

***

7.
Here is a geometry-optimized NaCd2Au structure from Alexandria. Energies are from PBE.

Properties
The energy above the most stable polymorph in this dataset comes out at 0.0 meV per atom. Its formation energy from the elements is -0.250 eV/atom.

Cell and atoms, written as POSCAR:
```
NaCd2Au
1.0
-0.759 1.473 4.134
1.851 -5.436 -0.122
7.559 2.562 0.474
Na Cd Au
2 4 2
direct
0.934 0.868 0.250
0.066 0.132 0.750
0.366 0.731 0.555
0.634 0.269 0.445
0.634 0.269 0.055
0.366 0.731 0.945
0.227 0.453 0.250
0.773 0.547 0.750
```

***

8.
Here is a geometry-optimized Na12CdAu7 structure from Alexandria. Energies are from PBE.

Properties
Its formation energy from the elements is -0.207 eV/atom.

Cell and atoms, written as POSCAR:
```
Na12CdAu7
1.0
-1.618 -4.973 -7.889
6.890 -2.507 3.952
-0.973 -8.128 1.538
Na Cd Au
12 1 7
direct
0.637 0.306 0.167
0.196 0.833 0.472
0.281 0.223 0.104
0.616 0.896 0.327
0.669 0.472 0.694
0.942 0.327 0.777
0.058 0.673 0.223
0.331 0.528 0.306
0.384 0.104 0.673
0.719 0.777 0.896
0.804 0.167 0.528
0.363 0.694 0.833
0.000 0.000 0.000
0.996 0.318 0.093
0.910 0.907 0.412
0.322 0.412 0.682
0.500 0.000 0.000
0.678 0.588 0.318
0.090 0.093 0.588
0.004 0.682 0.907
```

***

9.
Here is a geometry-optimized NaCd6Au12 structure from Alexandria. Energies are from PBE.

Properties
Its formation energy from the elements is -0.092 eV/atom.

Cell and atoms, written as POSCAR:
```
NaCd6Au12
1.0
-6.127 -3.178 -3.504
-0.852 -1.830 7.473
-1.305 7.623 -0.309
Na Cd Au
1 6 12
direct
0.000 0.000 0.000
0.695 0.298 0.298
0.298 0.298 0.695
0.298 0.695 0.298
0.702 0.702 0.305
0.305 0.702 0.702
0.702 0.305 0.702
0.888 0.112 0.500
0.893 0.654 0.654
0.654 0.654 0.893
0.346 0.107 0.346
0.346 0.346 0.107
0.107 0.346 0.346
0.112 0.500 0.888
0.500 0.888 0.112
0.112 0.888 0.500
0.888 0.500 0.112
0.500 0.112 0.888
0.654 0.893 0.654
```

***

10.
Here is a geometry-optimized Na3Cd3Au2 structure from Alexandria. Energies are from PBE.

Properties
The energy above the most stable polymorph in this dataset comes out at 29.0 meV per atom. Its formation energy from the elements is -0.189 eV/atom.

Cell and atoms, written as POSCAR:
```
Na3Cd3Au2
1.0
4.900 0.050 -0.008
0.056 5.567 -0.062
2.457 1.485 7.270
Na Cd Au
3 3 2
direct
0.848 0.420 0.314
0.152 0.580 0.686
0.000 0.000 0.000
0.373 0.838 0.259
0.500 0.500 0.000
0.627 0.162 0.741
0.781 0.895 0.440
0.219 0.105 0.560
```

***

11.
Here is a geometry-optimized NaCd5Au7 structure from Alexandria. Energies are from PBE.

Properties
Its formation energy from the elements is -0.130 eV/atom.

Cell and atoms, written as POSCAR:
```
NaCd5Au7
1.0
-0.285 5.744 1.228
-5.768 1.801 4.315
3.701 1.877 6.157
Na Cd Au
1 5 7
direct
0.994 0.006 0.006
0.493 0.018 0.484
0.005 0.018 0.484
0.493 0.484 0.018
0.005 0.484 0.018
0.699 0.801 0.801
0.651 0.349 0.349
0.311 0.689 0.689
0.988 0.359 0.666
0.988 0.666 0.359
0.368 0.132 0.132
0.503 0.744 0.250
0.503 0.250 0.744
```

***

12.
Here is a geometry-optimized NaCd6Au2 structure from Alexandria. Energies are from PBE.

Properties
The energy above the most stable polymorph in this dataset comes out at 111.4 meV per atom. Its formation energy from the elements is -0.027 eV/atom.

Cell and atoms, written as POSCAR:
```
NaCd6Au2
1.0
6.258 0.000 0.000
-3.129 5.419 0.000
0.000 0.000 7.239
Na Cd Au
1 6 2
direct
0.000 0.000 0.000
0.500 0.000 0.202
0.500 0.500 0.202
0.000 0.500 0.202
0.500 0.500 0.798
0.000 0.500 0.798
0.500 0.000 0.798
0.333 0.667 0.500
0.667 0.333 0.500
```

***

13.
Here is a geometry-optimized Na2CdAu2 structure from Alexandria. Energies are from PBE.

Properties
The energy above the most stable polymorph in this dataset comes out at 30.8 meV per atom. Its formation energy from the elements is -0.274 eV/atom.

Cell and atoms, written as POSCAR:
```
Na2CdAu2
1.0
-6.380 3.643 -0.355
-3.644 -6.252 1.319
0.208 0.779 4.267
Na Au Cd
4 4 2
direct
0.165 0.665 0.500
0.665 0.835 0.500
0.835 0.335 0.500
0.335 0.165 0.500
0.365 0.865 0.000
0.865 0.635 0.000
0.635 0.135 0.000
0.135 0.365 0.000
0.000 0.000 0.000
0.500 0.500 0.000
```

***

14.
Here is a geometry-optimized NaCd7Au2 structure from Alexandria. Energies are from PBE.

Properties
Its formation energy from the elements is -0.017 eV/atom.

Cell and atoms, written as POSCAR:
```
NaCd7Au2
1.0
-4.004 -0.143 3.591
-4.892 -2.192 -5.543
3.589 -5.686 3.775
Na Cd Au
1 7 2
direct
0.000 0.000 0.000
0.000 0.711 0.289
0.000 0.289 0.711
0.500 0.073 0.302
0.500 0.927 0.698
0.500 0.302 0.073
0.500 0.698 0.927
0.500 0.500 0.500
0.500 0.710 0.290
0.500 0.290 0.710
```

***

15.
Here is a geometry-optimized Na2CdAu structure from Alexandria. Energies are from PBE.

Properties
Its formation energy from the elements is -0.187 eV/atom.

Cell and atoms, written as POSCAR:
```
Na2CdAu
1.0
-3.244 -0.942 3.113
-4.796 -1.849 -1.998
-1.968 -5.041 -0.346
Na Cd Au
2 1 1
direct
0.999 0.000 0.000
0.500 0.500 0.500
0.250 0.250 0.250
0.750 0.750 0.750
```

***

16.
Here is a geometry-optimized NaCd5Au6 structure from Alexandria. Energies are from PBE.

Properties
Its formation energy from the elements is -0.191 eV/atom.

Cell and atoms, written as POSCAR:
```
NaCd5Au6
1.0
-3.912 3.331 0.072
-3.156 -3.783 3.594
4.974 1.550 5.999
Na Au Cd
1 6 5
direct
0.000 0.000 0.000
0.898 0.749 0.660
0.898 0.251 0.660
0.500 0.252 0.000
0.500 0.748 0.000
0.102 0.749 0.340
0.102 0.251 0.340
0.593 0.500 0.327
0.404 0.000 0.674
0.000 0.500 0.000
0.596 0.000 0.326
0.407 0.500 0.673
```

***

17.
Here is a geometry-optimized Na2Cd6Au3 structure from Alexandria. Energies are from PBE.

Properties
Its formation energy from the elements is -0.153 eV/atom.

Cell and atoms, written as POSCAR:
```
Na2Cd6Au3
1.0
-0.243 -4.427 -1.033
8.182 -0.044 -1.736
-2.637 -1.666 7.761
Na Cd Au
2 6 3
direct
0.000 0.667 0.333
0.000 0.333 0.667
0.500 0.721 0.721
0.500 0.000 0.279
0.000 0.206 0.206
0.000 0.794 0.000
0.500 0.279 0.000
0.000 0.000 0.794
0.500 0.395 0.395
0.500 0.605 0.000
0.500 0.000 0.605
```

***

18.
Here is a geometry-optimized Na2Cd3Au4 structure from Alexandria. Energies are from PBE.

Properties
The energy above the most stable polymorph in this dataset comes out at 0.0 meV per atom. Its formation energy from the elements is -0.258 eV/atom.

Cell and atoms, written as POSCAR:
```
Na2Cd3Au4
1.0
-1.543 -0.435 5.715
7.068 -2.566 1.713
3.451 8.502 -1.504
Na Cd Au
4 6 8
direct
0.092 0.606 0.184
0.908 0.394 0.816
0.408 0.106 0.816
0.592 0.894 0.184
0.000 0.000 0.000
0.500 0.500 0.000
0.502 0.750 0.505
0.998 0.250 0.495
0.498 0.250 0.495
0.002 0.750 0.505
0.670 0.750 0.841
0.830 0.250 0.159
0.330 0.250 0.159
0.170 0.750 0.841
0.163 0.985 0.325
0.837 0.015 0.675
0.337 0.485 0.675
0.663 0.515 0.325
```

***

19.
Here is a geometry-optimized NaCdAu4 structure from Alexandria. Energies are from PBE.

Properties
The energy above the most stable polymorph in this dataset comes out at 0.0 meV per atom. Its formation energy from the elements is -0.215 eV/atom.

Cell and atoms, written as POSCAR:
```
NaCdAu4
1.0
5.593 0.000 0.000
2.796 4.843 0.000
2.796 1.614 4.566
Na Au Cd
1 4 1
direct
0.000 0.000 0.000
0.625 0.625 0.125
0.625 0.125 0.625
0.625 0.625 0.625
0.125 0.625 0.625
0.250 0.250 0.250
```

***

20.
Here is a geometry-optimized NaCd4Au structure from Alexandria. Energies are from PBE.

Properties
The energy above the most stable polymorph in this dataset comes out at 0.0 meV per atom. Its formation energy from the elements is -0.139 eV/atom.

Cell and atoms, written as POSCAR:
```
NaCd4Au
1.0
4.005 0.000 -1.039
0.000 8.367 0.000
0.114 0.000 8.680
Na Cd Au
2 8 2
direct
0.123 0.250 0.247
0.877 0.750 0.753
0.500 0.500 0.000
0.500 0.000 0.000
0.677 0.955 0.354
0.323 0.045 0.646
0.323 0.455 0.646
0.677 0.545 0.354
0.066 0.750 0.132
0.934 0.250 0.868
0.240 0.750 0.479
0.760 0.250 0.521
```

***

Number 1: magnetization 0.0 μB per formula unit, electronic total energy -1.88 eV per atom. Number 2: magnetization 0.0 μB per formula unit, electronic total energy -2.24 eV per atom. Number 3: magnetization 0.0 μB per formula unit, electronic total energy -1.97 eV per atom. Number 4: magnetization 0.0 μB per formula unit, electronic total energy -1.70 eV per atom. Number 5: magnetization 0.0 μB per formula unit, electronic total energy -1.57 eV per atom. Number 6: magnetization 0.0 μB per formula unit, electronic total energy -1.66 eV per atom. Number 7: magnetization 0.0 μB per formula unit, electronic total energy -1.86 eV per atom. Number 8: magnetization 0.0 μB per formula unit, electronic total energy -2.19 eV per atom. Number 9: magnetization 0.0 μB per formula unit, electronic total energy -2.52 eV per atom. Number 10: magnetization 0.0 μB per formula unit, electronic total energy -1.85 eV per atom. Number 11: magnetization 0.0 μB per formula unit, electronic total energy -2.35 eV per atom. Number 12: magnetization 0.0 μB per formula unit, electronic total energy -1.51 eV per atom. Number 13: magnetization 0.0 μB per formula unit, electronic total energy -2.30 eV per atom. Number 14: magnetization 0.0 μB per formula unit, electronic total energy -1.44 eV per atom. Number 15: magnetization 0.0 μB per formula unit, electronic total energy -1.89 eV per atom. Number 16: magnetization 0.0 μB per formula unit, electronic total energy -2.32 eV per atom. Number 17: magnetization 0.0 μB per formula unit, electronic total energy -1.79 eV per atom. Number 18: magnetization 0.0 μB per formula unit, electronic total energy -2.31 eV per atom. Number 19: magnetization 0.0 μB per formula unit, electronic total energy -2.77 eV per atom. Number 20: magnetization 0.0 μB per formula unit, electronic total energy -1.52 eV per atom.